Record 1
The following is a PBE calculation of a geometry-optimized CrTeP4 structure, from Alexandria via LeMat-Bulk.

POSCAR file:
```
CrTeP4
1.0
0.000 4.085 4.085
4.085 0.000 4.085
4.085 4.085 0.000
Cr Te P
1 1 4
Cartesian
0.000 0.000 0.000
6.127 6.127 6.127
2.834 5.336 5.336
5.336 5.336 2.834
5.336 2.834 5.336
2.834 2.834 2.834
```

Properties
* energy: -0.1857 Ha/atom
* Fermi-level density of states: 0.70 states/eV/atom
* total magnetization: 4.356 μB/cell

Record 2
The following is a PBE calculation of a geometry-optimized Si2AsOs structure, from Alexandria via LeMat-Bulk.

POSCAR file:
```
Si2AsOs
1.0
-1.427 -6.013 -5.802
1.255 -5.114 -6.643
0.977 -7.119 -4.496
As Os Si
1 1 2
Cartesian
0.201 -4.562 -4.235
0.604 -13.685 -12.706
0.009 -0.197 -0.183
0.394 -8.926 -8.288
```

Properties
* energy: -0.2391 Ha/atom
* Fermi-level density of states: 0.67 states/eV/atom
* total magnetization: 0.000 μB/cell

Record 3
The following is a PBE calculation of a geometry-optimized PaMoP structure, from Alexandria via LeMat-Bulk.

POSCAR file:
```
PaMoP
1.0
-1.977 0.004 2.542
-1.259 -2.798 -0.976
5.189 -1.180 1.998
P Mo Pa
1 1 1
Cartesian
-0.657 -2.091 1.531
0.232 -0.168 0.181
2.378 -1.716 1.852
```

Properties
* energy: -0.3323 Ha/atom
* Fermi-level density of states: 1.35 states/eV/atom
* total magnetization: 0.001 μB/cell

Record 4
The following is a PBE calculation of a geometry-optimized Li2ThReN4 structure, from Alexandria via LeMat-Bulk.

POSCAR file:
```
Li2ThReN4
1.0
-3.599 -3.397 1.143
0.851 -2.389 -4.420
5.431 -4.570 3.517
Li Th Re N
4 2 2 8
Cartesian
-0.112 -3.478 0.156
2.578 -5.742 1.898
1.162 -8.466 0.627
-1.579 -6.160 -1.148
-0.536 -6.190 1.705
-1.046 -3.345 -2.731
1.611 -5.900 -1.233
-3.424 -3.853 0.281
-1.127 -1.807 -0.608
0.245 -7.067 -0.640
1.249 -4.228 1.499
-2.712 -5.195 -2.563
3.064 -6.163 -0.107
-1.767 -4.689 0.348
1.404 -7.357 2.401
0.804 -4.261 -1.571
```

Properties
* energy: -0.2882 Ha/atom
* Fermi-level density of states: 0.36 states/eV/atom
* total magnetization: 2.080 μB/cell

Record 5
The following is a PBE calculation of a geometry-optimized VCr2Te4 structure, from Alexandria via LeMat-Bulk.

POSCAR file:
```
VCr2Te4
1.0
7.308 0.011 -0.017
6.212 3.850 -0.017
3.131 0.894 6.127
V Cr Te
1 2 4
Cartesian
10.915 3.117 1.716
5.753 1.643 4.377
13.503 3.857 -0.030
13.363 3.817 2.739
3.305 0.944 3.355
8.651 2.471 0.128
7.981 2.280 5.963
```

Properties
* energy: -0.2230 Ha/atom
* Fermi-level density of states: 0.58 states/eV/atom
* total magnetization: 9.015 μB/cell

Record 6
The following is a PBE calculation of a geometry-optimized BaNa2AgAs structure, from Alexandria via LeMat-Bulk.

POSCAR file:
```
BaNa2AgAs
1.0
-1.908 3.284 4.006
-4.984 -1.833 -0.872
0.832 -4.019 3.691
Na As Ba Ag
2 1 1 1
Cartesian
0.416 -2.009 1.846
-0.954 1.642 2.003
0.000 0.000 0.000
-3.030 -1.284 3.413
-2.492 -0.916 -0.436
```

Properties
* energy: -0.0927 Ha/atom
* Fermi-level density of states: 0.47 states/eV/atom
* total magnetization: 0.651 μB/cell

Record 7
The following is a PBE calculation of a geometry-optimized Nd6SmGa structure, from Alexandria via LeMat-Bulk.

POSCAR file:
```
Nd6SmGa
1.0
-4.032 -7.673 -1.105
-1.280 -3.992 -8.536
1.726 -5.443 -3.009
Nd Sm Ga
6 1 1
Cartesian
-3.401 -13.480 -8.059
-2.855 -14.316 -11.604
-2.219 -6.583 -3.331
-0.731 -2.792 -1.046
-0.185 -3.628 -4.591
-1.367 -10.525 -9.319
-1.793 -8.554 -6.325
0.000 0.000 0.000
```

Properties
* energy: -0.1683 Ha/atom
* Fermi-level density of states: 1.41 states/eV/atom
* total magnetization: 0.000 μB/cell

Record 8
The following is a PBE calculation of a geometry-optimized PaAl2Au3 structure, from Alexandria via LeMat-Bulk.

POSCAR file:
```
PaAl2Au3
1.0
5.566 0.000 0.000
0.000 6.553 0.040
0.000 -1.277 6.427
Pa Al Au
2 4 6
Cartesian
1.391 1.833 2.247
4.174 3.443 4.220
2.783 4.834 1.442
0.000 4.834 1.442
0.000 0.441 5.025
2.783 0.441 5.025
4.174 2.789 0.881
4.174 0.303 2.909
1.391 2.487 5.586
4.174 0.092 0.113
1.391 5.183 6.354
1.391 4.972 3.558
```

Properties
* energy: -0.1778 Ha/atom
* Fermi-level density of states: 1.10 states/eV/atom
* total magnetization: 2.247 μB/cell

Record 9
The following is a PBE calculation of a geometry-optimized Ca2In12Ag7 structure, from Alexandria via LeMat-Bulk.

POSCAR file:
```
Ca2In12Ag7
1.0
4.306 0.000 0.000
0.000 10.071 -5.815
0.000 0.000 11.629
Ca In Ag
2 12 7
Cartesian
2.153 0.000 0.000
0.000 6.714 0.000
2.153 9.082 1.992
2.153 7.255 -3.046
2.153 3.806 1.054
2.153 2.451 7.915
2.153 5.630 5.549
2.153 1.991 3.980
0.000 0.528 6.062
0.000 4.986 8.142
0.000 4.558 3.241
0.000 7.782 3.859
0.000 9.523 -2.854
0.000 2.838 -1.005
0.000 3.357 5.815
0.000 0.532 9.085
0.000 7.602 6.626
0.000 1.937 1.733
2.153 6.310 2.454
2.153 9.041 -0.877
2.153 4.791 -1.576
```

Properties
* energy: -0.1037 Ha/atom
* Fermi-level density of states: 0.39 states/eV/atom
* total magnetization: 0.000 μB/cell

Record 10
The following is a PBE calculation of a geometry-optimized PbW4Cl structure, from Alexandria via LeMat-Bulk.

POSCAR file:
```
PbW4Cl
1.0
0.000 3.882 3.882
3.882 0.000 3.882
3.882 3.882 0.000
Pb W Cl
1 4 1
Cartesian
0.000 0.000 0.000
2.954 4.810 4.810
4.810 4.810 2.954
4.810 2.954 4.810
2.954 2.954 2.954
5.823 5.823 5.823
```

Properties
* energy: -0.3076 Ha/atom
* Fermi-level density of states: 0.75 states/eV/atom
* total magnetization: 0.000 μB/cell

Record 11
The following is a PBE calculation of a geometry-optimized ScAlNi structure, from Alexandria via LeMat-Bulk.

POSCAR file:
```
ScAlNi
1.0
5.127 0.001 0.000
-2.502 4.475 0.000
0.000 0.000 8.201
Sc Al Ni
4 4 4
Cartesian
0.043 2.983 1.679
2.597 1.485 2.669
2.597 1.485 5.532
0.043 2.983 6.521
5.077 0.031 2.155
5.077 0.031 6.046
2.639 2.929 0.000
1.357 0.744 0.000
3.865 0.741 0.000
0.019 1.545 4.100
1.286 3.706 4.100
-1.218 3.722 4.100
```

Properties
* energy: -0.2161 Ha/atom
* Fermi-level density of states: 0.60 states/eV/atom
* total magnetization: 0.000 μB/cell

Record 12
The following is a PBE calculation of a geometry-optimized NdYZnCd structure, from Alexandria via LeMat-Bulk.

POSCAR file:
```
NdYZnCd
1.0
-0.151 -2.754 -2.399
-1.155 -2.241 2.646
-7.289 1.825 -1.636
Nd Y Zn Cd
1 1 1 1
Cartesian
-1.570 -2.268 -0.082
-4.935 -1.426 -0.837
-2.710 0.678 -0.608
-6.144 1.538 -1.379
```

Properties
* energy: -0.1356 Ha/atom
* Fermi-level density of states: 1.05 states/eV/atom
* total magnetization: 0.001 μB/cell

Record 13
The following is a PBE calculation of a geometry-optimized Ba2Mg3Pd2 structure, from Alexandria via LeMat-Bulk.

POSCAR file:
```
Ba2Mg3Pd2
1.0
4.434 0.000 0.000
-2.217 5.228 -2.884
0.000 0.213 8.259
Ba Mg Pd
2 3 2
Cartesian
2.217 3.838 -0.200
0.000 1.602 5.575
2.217 0.000 0.000
2.217 1.679 2.658
0.000 3.761 2.717
2.217 3.995 4.392
0.000 1.445 0.983
```

Properties
* energy: -0.1162 Ha/atom
* Fermi-level density of states: 0.51 states/eV/atom
* total magnetization: 0.000 μB/cell

Record 14
The following is a PBE calculation of a geometry-optimized TiAl3O structure, from Alexandria via LeMat-Bulk.

POSCAR file:
```
TiAl3O
1.0
-1.627 -1.189 -3.597
-3.075 -1.871 2.010
-2.212 3.476 -0.148
Al O Ti
3 1 1
Cartesian
-1.537 -0.936 1.005
-1.106 1.738 -0.074
-0.813 -0.595 -1.798
0.000 0.000 0.000
-3.457 0.208 -0.868
```

Properties
* energy: -0.1994 Ha/atom
* Fermi-level density of states: 0.54 states/eV/atom
* total magnetization: 0.000 μB/cell

Record 15
The following is a PBE calculation of a geometry-optimized SrCd2Au structure, from Alexandria via LeMat-Bulk.

POSCAR file:
```
SrCd2Au
1.0
4.894 -0.017 0.035
2.459 4.231 0.035
2.427 1.391 5.306
Sr Au Cd
1 1 2
Cartesian
4.891 2.803 2.594
2.448 1.403 0.555
7.351 4.213 0.411
7.333 4.202 4.572
```

Properties
* energy: -0.0772 Ha/atom
* Fermi-level density of states: 0.58 states/eV/atom
* total magnetization: 0.000 μB/cell

Record 16
The following is a PBE calculation of a geometry-optimized In2CuMo2 structure, from Alexandria via LeMat-Bulk.

POSCAR file:
```
In2CuMo2
1.0
-2.905 -0.608 2.073
0.388 -3.564 -0.502
3.179 -2.463 6.894
Mo Cu In
2 1 2
Cartesian
-0.492 -2.578 4.876
1.154 -4.057 3.589
0.000 0.000 0.000
-0.407 -2.158 1.958
1.069 -4.476 6.507
```

Properties
* energy: -0.2080 Ha/atom
* Fermi-level density of states: 0.67 states/eV/atom
* total magnetization: 0.000 μB/cell

Record 17
The following is a PBE calculation of a geometry-optimized CrTeW2 structure, from Alexandria via LeMat-Bulk.

POSCAR file:
```
CrTeW2
1.0
5.262 0.001 0.003
2.427 4.669 -0.003
-3.443 -2.996 2.619
Cr Te W
1 1 2
Cartesian
3.823 2.322 0.000
1.487 2.048 1.308
0.000 0.000 0.000
2.781 -0.361 1.311
```

Properties
* energy: -0.3315 Ha/atom
* Fermi-level density of states: 0.95 states/eV/atom
* total magnetization: 0.000 μB/cell

Record 18
The following is a PBE calculation of a geometry-optimized Ac6CoCu2 structure, from Alexandria via LeMat-Bulk.

POSCAR file:
```
Ac6CoCu2
1.0
-6.439 -3.048 -0.958
3.245 -5.415 -4.588
1.111 -6.688 8.680
Ac Co Cu
12 2 4
Cartesian
-0.532 -2.360 1.833
0.562 -6.027 3.366
0.845 -8.501 6.502
1.243 -9.132 0.891
1.534 -11.619 4.017
-0.228 -5.685 -0.664
-1.551 -12.791 1.301
-2.645 -9.124 -0.231
-2.929 -6.650 -3.367
-3.326 -6.019 2.244
-3.617 -3.532 -0.882
-1.855 -9.465 3.799
-1.597 -4.231 -2.773
0.555 -3.344 4.340
2.441 -8.583 3.832
-1.693 -6.813 5.456
-0.390 -8.337 -2.321
-4.524 -6.568 -0.697
```

Properties
* energy: -0.1651 Ha/atom
* Fermi-level density of states: 1.12 states/eV/atom
* total magnetization: 0.000 μB/cell

Record 19
The following is a PBE calculation of a geometry-optimized Ac5Si2Hg2 structure, from Alexandria via LeMat-Bulk.

POSCAR file:
```
Ac5Si2Hg2
1.0
7.808 0.000 2.834
0.000 8.292 0.000
0.954 0.000 9.545
Ac Si Hg
10 4 4
Cartesian
0.000 0.000 0.000
3.904 4.146 1.417
4.185 1.470 8.329
7.063 6.822 9.373
3.159 5.616 7.956
8.089 2.676 9.746
4.577 6.822 4.051
1.699 1.470 3.006
5.603 2.676 4.423
0.673 5.616 2.633
0.842 3.238 0.306
6.967 5.054 2.529
3.062 7.384 1.112
4.746 0.908 1.723
2.231 0.000 6.026
6.135 4.146 7.443
6.531 0.000 6.354
2.627 4.146 4.936
```

Properties
* energy: -0.1478 Ha/atom
* Fermi-level density of states: 1.05 states/eV/atom
* total magnetization: 0.000 μB/cell

Record 20
The following is a PBE calculation of a geometry-optimized HfGaCl2 structure, from Alexandria via LeMat-Bulk.

POSCAR file:
```
HfGaCl2
1.0
1.862 0.000 9.921
-0.931 1.613 9.921
-0.931 -1.613 9.921
Hf Ga Cl
1 1 2
Cartesian
0.000 0.000 14.881
0.000 0.000 0.000
0.000 0.000 26.646
0.000 0.000 3.116
```

Properties
* energy: -0.1854 Ha/atom
* Fermi-level density of states: 0.59 states/eV/atom
* total magnetization: 0.000 μB/cell